VASP calculation (PBE-GGA) on a relaxed Sr2RuRh crystal.

Calculated values
N(E_F) = 1.482 states/eV per atom
ρ = 6.8 g/cm3
total energy = -4.463 eV per atom

abc: 4.315 4.315 10.006
angles: 90.00 90.00 90.00
Space group I-4m2 (No. 119)
Unique sites:
Sr 0.000 0.000 0.000 [2 per cell]
Sr 0.000 0.500 0.250 [2 per cell]
Ru 0.000 0.000 0.500 [2 per cell]
Rh 0.000 0.500 0.750 [2 per cell]